Entry 1:
Material: YReRh
Method: DFT, PBE
State: optimized geometry

extended XYZ file:
```
3
Lattice="-2.2059 2.9533 -5.3526 -4.7008 1.9013 -4.0656 -0.6692 2.7603 0.9590" Properties=species:S:1:pos:R:3 pbc="T T T"
Re -6.7820 4.8127 -9.2108
Rh -2.8819 3.5033 -2.7220
Y -4.8187 4.1535 -5.9447
```

The value obtained for the energy above the most stable polymorph in this dataset is 0.00 eV per formula unit. As for the density: 11.4 g cm⁻³.

Entry 2:
Material: YRe2Rh
Method: DFT, PBE
State: optimized geometry

extended XYZ file:
```
4
Lattice="5.0323 0.0000 0.0000 0.0000 2.9656 -0.0121 0.0000 0.4858 4.7058" Properties=species:S:1:pos:R:3 pbc="T T T"
Re 0.0000 0.2196 0.0247
Re 0.0000 1.5061 2.3221
Rh 2.5162 0.8629 1.1734
Y 2.5162 2.5886 3.5202
```

The value obtained for the energy above the most stable polymorph in this dataset is 0.97 eV per formula unit. As for the density: 13.3 g cm⁻³.

Entry 3:
Material: YRe2Rh
Method: DFT, PBE
State: optimized geometry

extended XYZ file:
```
4
Lattice="-1.4053 0.0604 -4.3656 -1.9492 -4.1117 0.5754 -1.0861 3.4629 2.8045" Properties=species:S:1:pos:R:3 pbc="T T T"
Re 0.0000 0.0000 0.0000
Re -2.3563 -1.3372 0.7424
Rh -1.6773 -2.0256 -1.8951
Y -2.0843 0.7489 -1.7281
```

The value obtained for the energy above the most stable polymorph in this dataset is 0.72 eV per formula unit. As for the density: 13.7 g cm⁻³.

Entry 4:
Material: YRe2Rh
Method: DFT, PBE
State: optimized geometry

extended XYZ file:
```
8
Lattice="-3.6527 6.8182 -0.6596 -6.8402 -3.6704 -0.0615 -5.3667 1.7553 2.1808" Properties=species:S:1:pos:R:3 pbc="T T T"
Y -5.2464 1.5739 -0.3605
Y -8.7267 -0.1706 0.8794
Re -4.6432 4.5468 0.0957
Re -5.9098 -1.3083 0.4539
Re -7.6535 2.6613 1.3680
Re -13.5126 3.9064 1.0019
Rh 0.0000 0.0000 0.0000
Rh -7.1329 5.0737 0.5804
```

The value obtained for the energy above the most stable polymorph in this dataset is 2.41 eV per formula unit. As for the density: 12.2 g cm⁻³.

Entry 5:
Material: Y2ReRh
Method: DFT, PBE
State: optimized geometry

extended XYZ file:
```
4
Lattice="-1.3418 4.9222 -3.1633 -4.1876 3.2679 -2.7964 -1.7326 3.5731 2.6717" Properties=species:S:1:pos:R:3 pbc="T T T"
Re -3.5528 5.7869 -1.4645
Rh -5.5480 8.9455 -2.6979
Y -1.7784 3.6289 2.5684
Y -1.7465 2.8567 -0.6661
```

As for the density: 9.3 g cm⁻³.

Entry 6:
Material: YRe2Rh
Method: DFT, PBE
State: optimized geometry

extended XYZ file:
```
4
Lattice="-3.4689 3.6245 -0.9494 1.0755 -3.3333 -4.2854 -2.3417 -1.5305 -0.0088" Properties=species:S:1:pos:R:3 pbc="T T T"
Re 0.0000 0.0000 0.0000
Re -2.9053 1.0470 -0.4791
Rh -0.6331 -2.4319 -2.1471
Y -1.1967 0.1456 -2.6174
```

The value obtained for the energy above the most stable polymorph in this dataset is 1.04 eV per formula unit. As for the density: 13.8 g cm⁻³.

Entry 7:
Material: Y2ReRh
Method: DFT, PBE
State: optimized geometry

extended XYZ file:
```
4
Lattice="3.1038 0.0000 0.0000 0.0000 3.1038 0.0000 0.0000 0.0000 8.9731" Properties=species:S:1:pos:R:3 pbc="T T T"
Re 0.0000 0.0000 4.8509
Rh 1.5519 1.5519 6.3607
Y 0.0000 0.0000 8.4897
Y 1.5519 1.5519 2.7315
```

As for the density: 9.0 g cm⁻³.

Entry 8:
Material: Y2ReRh
Method: DFT, PBE
State: optimized geometry

extended XYZ file:
```
4
Lattice="3.0749 0.0000 0.0000 0.0000 4.7316 0.0000 0.0000 0.0000 5.7839" Properties=species:S:1:pos:R:3 pbc="T T T"
Re 0.0000 0.0000 2.6715
Rh 1.5375 2.3658 4.5434
Y 0.0000 0.0000 5.4813
Y 1.5375 2.3658 1.7635
```

As for the density: 9.2 g cm⁻³.

In the order shown, the computed formation enthalpy at 0 K values come out to -22, 239, 176, 599, -75, 258, 57, 174 meV/atom.